Model a:
First-principles (PBE) data for a relaxed structure of TiReBi3, as listed in the Alexandria database.

a = 5.3508 Å, b = 5.3508 Å, c = 5.3508 Å
α = 90.00°, β = 90.00°, γ = 90.00°
Closest atoms and distances in Å follow each position.
Sites, in units of the cell vectors:
Re 0.0000 0.0000 0.0000  6 Bi 2.68
Bi 0.0000 0.5000 0.0000  2 Re 2.68
Bi 0.0000 0.0000 0.5000  2 Re 2.68
Bi 0.5000 0.0000 0.0000  2 Re 2.68
Ti 0.5000 0.5000 0.5000  12 Bi 3.78

Summary:
Magnetization in μB/cell: 2.7
Symmetry: Pm-3m, No. 221

Model b:
First-principles (PBE) data for a relaxed structure of TiReBi3, as listed in the Alexandria database.

a = 5.3512 Å, b = 5.3512 Å, c = 5.3512 Å
α = 90.00°, β = 90.00°, γ = 90.00°
Closest atoms and distances in Å follow each position.
Sites, in units of the cell vectors:
Re 0.5000 0.5000 0.5000  12 Bi 3.78
Bi 0.0000 0.5000 0.0000  2 Ti 2.68
Bi 0.0000 0.0000 0.5000  2 Ti 2.68
Bi 0.5000 0.0000 0.0000  2 Ti 2.68
Ti 0.0000 0.0000 0.0000  6 Bi 2.68

Summary:
Magnetization in μB/cell: 4.4
Symmetry: Pm-3m, No. 221

Which structure is the most stable? The one labeled model a.

Model a:
First-principles (PBE) data for a relaxed structure of TlReBi2, as listed in the Alexandria database.

a = 5.1703 Å, b = 5.1703 Å, c = 5.1703 Å
α = 60.00°, β = 60.00°, γ = 60.00°
Closest atoms and distances in Å follow each position.
Sites, in units of the cell vectors:
Re 0.0000 0.0000 0.0000  8 Bi 3.17
Tl 0.5000 0.5000 0.5000  8 Bi 3.17
Bi 0.2500 0.2500 0.2500  4 Tl 3.17, 4 Re 3.17
Bi 0.7500 0.7500 0.7500  4 Tl 3.17, 4 Re 3.17

Summary:
Magnetization in μB/cell: 0.7
Symmetry: Fm-3m, No. 225

Model b:
First-principles (PBE) data for a relaxed structure of TlReBi2, as listed in the Alexandria database.

a = 6.8361 Å, b = 6.8361 Å, c = 8.1744 Å
α = 65.28°, β = 65.28°, γ = 90.00°
Closest atoms and distances in Å follow each position.
Sites, in units of the cell vectors:
Re 0.5000 0.5000 0.0000  4 Bi 2.64
Re 0.2500 0.7500 0.5000  4 Bi 2.64
Tl 0.0000 0.0000 0.0000  4 Bi 3.29
Tl 0.7500 0.2500 0.5000  4 Bi 3.29
Bi 0.5424 0.1250 0.2500  2 Re 2.64
Bi 0.2076 0.6250 0.2500  2 Re 2.64
Bi 0.3750 0.4576 0.7500  2 Re 2.64
Bi 0.8750 0.7924 0.7500  2 Re 2.64

Summary:
Magnetization in μB/cell: 0.0
Symmetry: I-42d, No. 122

Which structure is the most stable? The one labeled model b.

Model a:
First-principles (PBE) data for a relaxed structure of ZrTlReBi2, as listed in the Alexandria database.

a = 5.7142 Å, b = 5.0599 Å, c = 5.7142 Å
α = 90.00°, β = 90.00°, γ = 90.00°
Closest atoms and distances in Å follow each position.
Sites, in units of the cell vectors:
Re 0.0000 0.5000 0.0000  2 Zr 2.53
Tl 0.5000 0.5000 0.5000  8 Bi 3.82, 4 Re 4.04
Bi 0.0000 0.0000 0.5000  2 Zr 2.86
Bi 0.5000 0.0000 0.0000  2 Zr 2.86
Zr 0.0000 0.0000 0.0000  2 Re 2.53

Summary:
Magnetization in μB/cell: 2.2
Symmetry: P4/mmm, No. 123

Model b:
First-principles (PBE) data for a relaxed structure of ZrTlReBi2, as listed in the Alexandria database.

a = 5.3456 Å, b = 5.2797 Å, c = 5.3456 Å
α = 90.00°, β = 90.00°, γ = 90.00°
Closest atoms and distances in Å follow each position.
Sites, in units of the cell vectors:
Re 0.0000 0.0000 0.0000  2 Tl 2.64, 4 Bi 2.67
Tl 0.0000 0.5000 0.0000  2 Re 2.64
Bi 0.0000 0.0000 0.5000  2 Re 2.67
Bi 0.5000 0.0000 0.0000  2 Re 2.67
Zr 0.5000 0.5000 0.5000  8 Bi 3.76, 4 Tl 3.78

Summary:
Magnetization in μB/cell: 2.3
Symmetry: P4/mmm, No. 123

Which structure is the most stable? The one labeled model a.

Model a:
First-principles (PBE) data for a relaxed structure of VReBi2, as listed in the Alexandria database.

a = 6.4736 Å, b = 6.4736 Å, c = 7.6104 Å
α = 64.83°, β = 64.83°, γ = 90.00°
Closest atoms and distances in Å follow each position.
Sites, in units of the cell vectors:
Re 0.0000 0.0000 0.0000  4 Bi 2.69
Re 0.7500 0.2500 0.5000  4 Bi 2.69
Bi 0.6413 0.1250 0.2500  2 Re 2.69, 2 V 2.81
Bi 0.1087 0.6250 0.2500  2 Re 2.69, 2 V 2.81
Bi 0.3750 0.3587 0.7500  2 Re 2.69, 2 V 2.81
Bi 0.8750 0.8913 0.7500  2 Re 2.69, 2 V 2.81
V 0.5000 0.5000 0.0000  4 Bi 2.81
V 0.2500 0.7500 0.5000  4 Bi 2.81

Summary:
Magnetization in μB/cell: 8.9
Symmetry: I-42d, No. 122

Model b:
First-principles (PBE) data for a relaxed structure of VReBi2, as listed in the Alexandria database.

a = 4.8627 Å, b = 4.8627 Å, c = 4.8627 Å
α = 60.00°, β = 60.00°, γ = 60.00°
Closest atoms and distances in Å follow each position.
Sites, in units of the cell vectors:
Re 0.5000 0.5000 0.5000  8 Bi 2.98
Bi 0.2500 0.2500 0.2500  4 Re 2.98, 4 V 2.98
Bi 0.7500 0.7500 0.7500  4 Re 2.98, 4 V 2.98
V 0.0000 0.0000 0.0000  8 Bi 2.98

Summary:
Magnetization in μB/cell: 2.7
Symmetry: Fm-3m, No. 225

Which structure is the most stable? The one labeled model b.

Model a:
First-principles (PBE) data for a relaxed structure of ReBi3W, as listed in the Alexandria database.

a = 5.3627 Å, b = 5.3627 Å, c = 5.3627 Å
α = 90.00°, β = 90.00°, γ = 90.00°
Closest atoms and distances in Å follow each position.
Sites, in units of the cell vectors:
Re 0.5000 0.5000 0.5000  12 Bi 3.79
Bi 0.0000 0.5000 0.0000  2 W 2.68
Bi 0.0000 0.0000 0.5000  2 W 2.68
Bi 0.5000 0.0000 0.0000  2 W 2.68
W 0.0000 0.0000 0.0000  6 Bi 2.68

Summary:
Magnetization in μB/cell: 3.9
Symmetry: Pm-3m, No. 221

Model b:
First-principles (PBE) data for a relaxed structure of ReBi3W, as listed in the Alexandria database.

a = 5.3042 Å, b = 5.3042 Å, c = 5.3042 Å
α = 90.00°, β = 90.00°, γ = 90.00°
Closest atoms and distances in Å follow each position.
Sites, in units of the cell vectors:
Re 0.0000 0.0000 0.0000  6 Bi 2.65
Bi 0.0000 0.5000 0.0000  2 Re 2.65
Bi 0.0000 0.0000 0.5000  2 Re 2.65
Bi 0.5000 0.0000 0.0000  2 Re 2.65
W 0.5000 0.5000 0.5000  12 Bi 3.75

Summary:
Magnetization in μB/cell: 4.1
Symmetry: Pm-3m, No. 221

Which structure is the most stable? The one labeled model b.